A plane-wave DFT calculation with PBE-GGA was carried out for a relaxed structure of BaGaHg2Pt.

Unit cell a=5.3705 b=5.3705 c=4.8667 alpha=90.00 beta=90.00 gamma=90.00
Last column: nearest neighbours and their distance in Å.
Sites, in units of the cell vectors:
Ba (0.0000, 0.0000, 0.0000)  8 Hg 3.62, 4 Ga 3.80
Ga (0.5000, 0.5000, 0.0000)  2 Pt 2.43
Hg (0.0000, 0.5000, 0.5000)  2 Pt 2.69
Hg (0.5000, 0.0000, 0.5000)  2 Pt 2.69
Pt (0.5000, 0.5000, 0.5000)  2 Ga 2.43, 4 Hg 2.69

The space-group type is P4/mmm. Its total energy is -2.74 eV per atom. As for the formation energy: -0.419 eV per atom.